1.
# BaHfO3

A geometry-optimized BaHfO3 structure (GGA-PBE, the Alexandria database).

Properties
The density of states at the Fermi level is 0.000 states/eV per atom. For the total DFT energy (no corrections), the calculation gives -8.37 eV per atom.

CIF file:
```
data_BaHfO3
_space_group_name_H-M_alt 'P 1'
_space_group_IT_number 1
_cell_length_a 17.6652
_cell_length_b 7.3732
_cell_length_c 7.3732
_cell_angle_alpha 153.47
_cell_angle_beta 152.48
_cell_angle_gamma 27.52
loop_
_space_group_symop_operation_xyz
'x,y,z'
loop_
_atom_site_label
_atom_site_fract_x
_atom_site_fract_y
_atom_site_fract_z
Ba1 0.8662 0.0123 0.9877
O1 0.1068 0.2037 0.7963
O2 0.7431 0.3243 0.6757
Hf1 0.3474 0.9945 0.0055
Ba2 0.1338 0.9877 0.0123
O3 0.5528 0.2554 0.7446
O4 0.2569 0.6757 0.3243
O5 0.8932 0.7963 0.2037
Hf2 0.6526 0.0055 0.9945
O6 0.4472 0.7446 0.2554
```

***

2.
# Ba2HfOs3O12

A geometry-optimized Ba2HfOs3O12 structure (GGA-PBE, the Alexandria database).

Properties
The density of states at the Fermi level is 0.410 states/eV per atom. For the total DFT energy (no corrections), the calculation gives -7.75 eV per atom.

CIF file:
```
data_Ba2HfOs3O12
_space_group_name_H-M_alt 'P 1'
_space_group_IT_number 1
_cell_length_a 7.3670
_cell_length_b 7.3670
_cell_length_c 7.3670
_cell_angle_alpha 58.83
_cell_angle_beta 58.83
_cell_angle_gamma 58.83
loop_
_space_group_symop_operation_xyz
'x,y,z'
loop_
_atom_site_label
_atom_site_fract_x
_atom_site_fract_y
_atom_site_fract_z
O1 0.0755 0.6963 0.6963
Ba1 0.6516 0.6516 0.6516
O2 0.3037 0.3037 0.9245
O3 0.6963 0.6963 0.0755
Ba2 0.3484 0.3484 0.3484
O4 0.0874 0.0874 0.6516
Os1 0.5000 0.0000 0.0000
Os2 0.0000 0.0000 0.5000
O5 0.9245 0.3037 0.3037
O6 0.6963 0.0755 0.6963
O7 0.9126 0.3484 0.9126
O8 0.6516 0.0874 0.0874
Os3 0.0000 0.5000 0.0000
Hf1 0.0000 0.0000 0.0000
O9 0.3484 0.9126 0.9126
O10 0.3037 0.9245 0.3037
O11 0.0874 0.6516 0.0874
O12 0.9126 0.9126 0.3484
```

***

3.
# BaHfOsO6

A geometry-optimized BaHfOsO6 structure (GGA-PBE, the Alexandria database).

Properties
The density of states at the Fermi level is 0.374 states/eV per atom. For the total DFT energy (no corrections), the calculation gives -8.07 eV per atom.

CIF file:
```
data_BaHfOsO6
_space_group_name_H-M_alt 'P 1'
_space_group_IT_number 1
_cell_length_a 7.3595
_cell_length_b 7.2659
_cell_length_c 7.3195
_cell_angle_alpha 119.76
_cell_angle_beta 120.18
_cell_angle_gamma 90.00
loop_
_space_group_symop_operation_xyz
'x,y,z'
loop_
_atom_site_label
_atom_site_fract_x
_atom_site_fract_y
_atom_site_fract_z
O1 0.4724 0.7224 0.9449
O2 0.5276 0.2776 0.0551
Hf1 0.5000 0.0000 0.5000
O3 0.5567 0.3456 0.7393
Ba1 0.1280 0.3780 0.2561
O4 0.8398 0.0898 0.6795
O5 0.1602 0.9102 0.3205
O6 0.4433 0.6544 0.2607
Ba2 0.8720 0.6220 0.7439
Os1 0.5000 0.0000 0.0000
Hf2 0.0000 0.0000 0.5000
Os2 0.5000 0.5000 0.0000
O7 0.8173 0.6544 0.2607
O8 0.4433 0.1062 0.2607
O9 0.5567 0.8938 0.7393
O10 0.1827 0.3456 0.7393
O11 0.1827 0.8938 0.7393
O12 0.8173 0.1062 0.2607
```

***

4.
# BaHfPO2

A geometry-optimized BaHfPO2 structure (GGA-PBE, the Alexandria database).

Properties
The density of states at the Fermi level is 0.485 states/eV per atom. As for the energy above the lowest structure with this stoichiometry: 0.000 eV/atom.

CIF file:
```
data_BaHfPO2
_space_group_name_H-M_alt 'P 1'
_space_group_IT_number 1
_cell_length_a 4.2443
_cell_length_b 4.2443
_cell_length_c 5.2271
_cell_angle_alpha 90.00
_cell_angle_beta 90.00
_cell_angle_gamma 90.00
loop_
_space_group_symop_operation_xyz
'x,y,z'
loop_
_atom_site_label
_atom_site_fract_x
_atom_site_fract_y
_atom_site_fract_z
P1 0.0000 0.0000 0.5000
O1 0.5000 0.0000 0.0000
Hf1 0.0000 0.0000 0.0000
Ba1 0.5000 0.5000 0.5000
O2 0.0000 0.5000 0.0000
```

***

5.
# BaHfPO2

A geometry-optimized BaHfPO2 structure (GGA-PBE, the Alexandria database).

Properties
The density of states at the Fermi level is 0.571 states/eV per atom. As for the energy above the lowest structure with this stoichiometry: 2.182 eV/atom.

CIF file:
```
data_BaHfPO2
_space_group_name_H-M_alt 'P 1'
_space_group_IT_number 1
_cell_length_a 4.2682
_cell_length_b 4.2682
_cell_length_c 6.5413
_cell_angle_alpha 90.00
_cell_angle_beta 90.00
_cell_angle_gamma 90.00
loop_
_space_group_symop_operation_xyz
'x,y,z'
loop_
_atom_site_label
_atom_site_fract_x
_atom_site_fract_y
_atom_site_fract_z
Hf1 0.5000 0.5000 0.5000
O1 0.0000 0.5000 0.0000
Ba1 0.0000 0.0000 0.0000
O2 0.5000 0.0000 0.0000
P1 0.0000 0.0000 0.5000
```

***

6.
# BaHfPaO6

A geometry-optimized BaHfPaO6 structure (GGA-PBE, the Alexandria database).

Properties
The density of states at the Fermi level is 0.753 states/eV per atom. For the total DFT energy (no corrections), the calculation gives -8.83 eV per atom.

CIF file:
```
data_BaHfPaO6
_space_group_name_H-M_alt 'P 1'
_space_group_IT_number 1
_cell_length_a 5.7780
_cell_length_b 5.7780
_cell_length_c 11.2450
_cell_angle_alpha 90.00
_cell_angle_beta 90.00
_cell_angle_gamma 120.00
loop_
_space_group_symop_operation_xyz
'x,y,z'
loop_
_atom_site_label
_atom_site_fract_x
_atom_site_fract_y
_atom_site_fract_z
Pa1 0.3333 0.6667 0.2500
O1 0.6156 0.9916 0.8503
O2 0.6240 0.0084 0.3503
Hf1 0.3333 0.6667 0.7500
O3 0.0084 0.3844 0.6497
O4 0.0084 0.6240 0.8503
O5 0.3844 0.0084 0.1497
Pa2 0.6667 0.3333 0.7500
Ba1 0.0000 0.0000 0.0000
O6 0.9916 0.3760 0.1497
O7 0.9916 0.6156 0.3503
O8 0.3844 0.3760 0.3503
Ba2 0.0000 0.0000 0.5000
O9 0.6156 0.6240 0.6497
Hf2 0.6667 0.3333 0.2500
O10 0.6240 0.6156 0.1497
O11 0.3760 0.9916 0.6497
O12 0.3760 0.3844 0.8503
```